# 1
# YSiMo2

A relaxed YSiMo2 crystal (GGA-PBE, the Alexandria database).

Calculated values
The value obtained for the formation energy from raw total energies is 0.8 eV/f.u. The value obtained for the volume is 17.76 Å³ per atom.

a = 2.948 Å, b = 2.948 Å, c = 8.520 Å
α = 90.00°, β = 90.00°, γ = 106.38°
Sites, in units of the cell vectors:
Si 0.500 0.500 0.250
Mo 0.000 0.000 0.455
Mo 0.000 0.000 0.045
Y 0.500 0.500 0.750

---

# 2
# Li2AlSi

A relaxed Li2AlSi crystal (GGA-PBE, the Alexandria database).

Calculated values
The value obtained for the formation energy from raw total energies is -0.5 eV/f.u. The value obtained for the volume is 14.90 Å³ per atom.

a = 4.623 Å, b = 4.623 Å, c = 4.623 Å
α = 128.00°, β = 128.00°, γ = 76.63°
Sites, in units of the cell vectors:
Si 0.500 0.500 0.000
Li 0.250 0.750 0.500
Li 0.000 0.000 0.000
Al 0.750 0.250 0.500

---

# 3
# Sm3YHo2Tm6

A relaxed Sm3YHo2Tm6 crystal (GGA-PBE, the Alexandria database).

Calculated values
The value obtained for the volume is 31.20 Å³ per atom. The formation energy comes out at 0.0234 eV per atom.

a = 6.130 Å, b = 6.130 Å, c = 11.677 Å
α = 95.01°, β = 95.01°, γ = 119.95°
Sites, in units of the cell vectors:
Ho 0.667 0.333 0.000
Ho 0.333 0.667 0.000
Tm 0.583 0.917 0.752
Tm 0.749 0.749 0.248
Tm 0.917 0.583 0.752
Tm 0.251 0.251 0.752
Tm 0.417 0.083 0.248
Tm 0.083 0.417 0.248
Sm 0.167 0.833 0.500
Sm 0.500 0.500 0.500
Sm 0.833 0.167 0.500
Y 0.000 0.000 0.000

---

# 4
# ScZn2P

A relaxed ScZn2P crystal (GGA-PBE, the Alexandria database).

Calculated values
The value obtained for the volume is 16.40 Å³ per atom. The formation energy comes out at -0.3085 eV per atom.

a = 5.081 Å, b = 5.081 Å, c = 5.081 Å
α = 134.54°, β = 134.54°, γ = 66.24°
Sites, in units of the cell vectors:
Zn 0.000 0.000 0.000
Zn 0.250 0.750 0.500
Sc 0.750 0.250 0.500
P 0.500 0.500 0.000

---

# 5
# PmGdN

A relaxed PmGdN crystal (GGA-PBE, the Alexandria database).

Calculated values
The value obtained for the formation energy from raw total energies is -1.0 eV/f.u. The value obtained for the volume is 19.24 Å³ per atom. The excess energy over the best structure of this formula in the dataset is 606 meV/atom.

a = 4.338 Å, b = 4.338 Å, c = 4.338 Å
α = 60.00°, β = 60.00°, γ = 60.00°
Last column: magnetic moment on the atom in μB.
Sites, in units of the cell vectors:
N 0.250 0.250 0.250  -0.07
Pm 0.500 0.500 0.500  0.09
Gd 0.000 0.000 0.000  7.00

---

# 6
# PrEr2Ge2Pd7

A relaxed PrEr2Ge2Pd7 crystal (GGA-PBE, the Alexandria database).

Calculated values
The value obtained for the volume is 19.12 Å³ per atom. The formation energy comes out at -0.7546 eV per atom.

a = 4.083 Å, b = 4.083 Å, c = 13.969 Å
α = 83.04°, β = 83.04°, γ = 89.52°
Sites, in units of the cell vectors:
Pd 0.933 0.432 0.163
Pd 0.067 0.568 0.837
Pd 0.568 0.067 0.837
Pd 0.318 0.318 0.445
Pd 0.432 0.933 0.163
Pd 0.500 0.500 0.000
Pd 0.682 0.682 0.555
Er 0.861 0.861 0.352
Er 0.139 0.139 0.648
Ge 0.609 0.609 0.734
Ge 0.391 0.391 0.266
Pr 0.000 0.000 0.000

---

# 7
# SrIN2Cl

A relaxed SrIN2Cl crystal (GGA-PBE, the Alexandria database).

Calculated values
The value obtained for the formation energy from raw total energies is 5.7 eV/f.u. The value obtained for the volume is 34.31 Å³ per atom. The excess energy over the best structure of this formula in the dataset is 0 meV/atom.

a = 5.107 Å, b = 5.107 Å, c = 6.577 Å
α = 90.00°, β = 90.00°, γ = 90.00°
Last column: magnetic moment on the atom in μB.
Sites, in units of the cell vectors:
Sr 0.000 0.000 0.000  0.04
Cl 0.500 0.500 0.500  0.41
I 0.000 0.000 0.500  0.37
N 0.500 0.000 0.000  1.52
N 0.000 0.500 0.000  1.52

---

# 8
# Sm2CdRu

A relaxed Sm2CdRu crystal (GGA-PBE, the Alexandria database).

Calculated values
The value obtained for the volume is 24.47 Å³ per atom. The formation energy comes out at -0.2995 eV per atom. The excess energy over the best structure of this formula in the dataset is 0 meV/atom.

a = 3.530 Å, b = 3.530 Å, c = 7.856 Å
α = 90.00°, β = 90.00°, γ = 90.00°
Sites, in units of the cell vectors:
Sm 0.000 0.000 0.784
Sm 0.000 0.000 0.216
Cd 0.500 0.500 0.500
Ru 0.500 0.500 0.000

---

# 9
# CaPu2OsN4

A relaxed CaPu2OsN4 crystal (GGA-PBE, the Alexandria database).

Calculated values
The value obtained for the formation energy from raw total energies is -6.0 eV/f.u. The value obtained for the volume is 15.21 Å³ per atom.

a = 3.480 Å, b = 6.032 Å, c = 12.108 Å
α = 90.00°, β = 90.00°, γ = 106.77°
Last column: magnetic moment on the atom in μB.
Sites, in units of the cell vectors:
Pu 0.631 0.262 0.449  4.29
Pu 0.369 0.738 0.551  4.29
Pu 0.369 0.738 0.949  4.29
Pu 0.631 0.262 0.051  4.29
N 0.253 0.506 0.099  -0.15
N 0.747 0.494 0.901  -0.15
N 0.253 0.506 0.401  -0.15
N 0.000 0.000 0.000  -0.24
N 0.000 0.000 0.500  -0.24
N 0.594 0.188 0.250  -0.05
N 0.747 0.494 0.599  -0.15
N 0.406 0.812 0.750  -0.05
Ca 0.932 0.864 0.250  0.03
Ca 0.068 0.136 0.750  0.03
Os 0.811 0.622 0.750  0.00
Os 0.189 0.378 0.250  0.00

---

# 10
# KAg2PbBr6

A relaxed KAg2PbBr6 crystal (GGA-PBE, the Alexandria database).

Calculated values
The value obtained for the formation energy from raw total energies is -7.6 eV/f.u. The value obtained for the volume is 32.13 Å³ per atom.

a = 7.559 Å, b = 7.558 Å, c = 7.828 Å
α = 61.10°, β = 61.09°, γ = 59.98°
Sites, in units of the cell vectors:
Pb 0.315 0.315 0.056
Br 0.183 0.333 0.738
Br 0.867 0.650 0.227
Br 0.257 0.867 0.227
Br 0.745 0.184 0.738
Br 0.650 0.257 0.226
Br 0.333 0.746 0.738
Ag 0.514 0.514 0.459
Ag 0.005 0.005 0.986
K 0.793 0.793 0.621

---

# 11
# BaScTl

A relaxed BaScTl crystal (GGA-PBE, the Alexandria database).

Calculated values
The value obtained for the volume is 34.33 Å³ per atom. The formation energy comes out at -0.0809 eV per atom. The excess energy over the best structure of this formula in the dataset is 196 meV/atom.

a = 7.135 Å, b = 7.135 Å, c = 3.962 Å
α = 73.88°, β = 73.88°, γ = 32.24°
Sites, in units of the cell vectors:
Tl 0.703 0.703 0.297
Sc 0.289 0.289 0.711
Ba 0.008 0.008 0.992

---

# 12
# ReGe2Pt

A relaxed ReGe2Pt crystal (GGA-PBE, the Alexandria database).

Calculated values
The value obtained for the volume is 15.30 Å³ per atom. The formation energy comes out at 0.1861 eV per atom. The excess energy over the best structure of this formula in the dataset is 152 meV/atom.

a = 4.423 Å, b = 4.423 Å, c = 4.423 Å
α = 60.00°, β = 60.00°, γ = 60.00°
Sites, in units of the cell vectors:
Ge 0.750 0.750 0.750
Ge 0.250 0.250 0.250
Pt 0.500 0.500 0.500
Re 0.000 0.000 0.000